The following is a PBE with a Hubbard U calculation of a relaxed RuW2CF crystal, from Alexandria.

Cell and atoms, written as extended XYZ:
```
5
Lattice="4.245 0.000 0.000 0.000 4.245 0.000 0.000 0.000 3.922" Properties=species:S:1:pos:R:3 pbc="T T T"
Ru 0.000 0.000 0.000
W 0.000 2.123 1.961
W 2.123 0.000 1.961
C 0.000 0.000 1.961
F 2.123 2.123 0.000
```

Calculated values
Space group: P4/mmm (123)
VASP energy, eV per cell: -30.36
Total magnetization, Bohr magnetons per cell: 0.0